Below is Ac2TiP2N6 after structural relaxation, with properties calculated at the PBE level.

extended XYZ file:
```
11
Lattice="5.613 0.000 0.000 2.807 4.861 0.000 2.807 1.620 5.369" Properties=species:S:1:pos:R:3 pbc="T T T"
N 6.983 4.031 1.232
N 6.983 2.450 4.136
Ac 2.807 1.620 1.592
Ac 8.420 4.861 3.777
N 5.613 4.822 4.136
N 5.613 1.660 1.232
P 5.613 3.241 1.626
Ti 0.000 0.000 0.000
P 5.613 3.241 3.743
N 4.244 2.450 4.136
N 4.244 4.031 1.232
```

Formation energy without anion corrections ... -1135 meV/atom